Record 1
Crystalline Mg2Cd2Co at its relaxed geometry, computed with PBE.

Unit cell a=6.8748 b=6.8748 c=4.3255 alpha=90.00 beta=90.00 gamma=90.00
Closest atoms and distances in Å follow each position.
Space group P4/mbm (No. 127)
One atom of each set of equivalent atoms:
Mg: 0.1699 0.3301 0.0000  6 Cd 2.80-3.07
Cd: 0.1464 0.6464 0.5000  2 Co 2.63, 2 Mg 2.80, 1 Cd 2.85
Co: 0.0000 0.0000 0.5000  4 Cd 2.63

Volume ... 20.4 Å³ per atom
Electronic total energy ... -2.16 eV/atom
Crystal system ... tetragonal


Record 2
Crystalline Sm3Dy4Er at its relaxed geometry, computed with PBE.

Unit cell a=11.3688 b=7.2904 c=6.2969 alpha=90.00 beta=90.00 gamma=90.00
Closest atoms and distances in Å follow each position.
Space group Pmn2_1 (No. 31)
One atom of each set of equivalent atoms:
Sm: 0.0000 0.1263 0.0000  4 Sm 3.53-3.54, 6 Dy 3.55-3.67, 2 Er 3.65
Sm: 0.2500 0.1258 0.3332  4 Sm 3.53-3.64, 2 Er 3.53-3.55, 6 Dy 3.54-3.66
Dy: 0.0000 0.3761 0.5012  6 Dy 3.51-3.63, 4 Sm 3.54-3.64, 2 Er 3.62-3.67
Dy: 0.0000 0.6228 0.9999  6 Dy 3.52-3.63, 4 Sm 3.54-3.67, 2 Er 3.63-3.64
Dy: 0.2483 0.6236 0.3335  6 Dy 3.51-3.63, 1 Er 3.51, 5 Sm 3.55-3.66
Er: 0.0000 0.8725 0.4994  6 Dy 3.51-3.67, 6 Sm 3.53-3.65

Volume ... 32.6 Å³ per atom
Electronic total energy ... -4.62 eV/atom
Crystal system ... orthorhombic


Record 3
Crystalline Er3Ga4Cu4 at its relaxed geometry, computed with PBE.

Unit cell a=3.6640 b=4.1541 c=13.4416 alpha=98.79 beta=97.82 gamma=90.00
Closest atoms and distances in Å follow each position.
Space group P-1 (No. 2)
One atom of each set of equivalent atoms:
Er: 0.0000 0.0000 0.0000  8 Cu 3.02-3.03, 4 Ga 3.11-3.12
Er: 0.1462 0.6461 0.2929  6 Cu 2.98-3.21, 6 Ga 3.07-3.19
Ga: 0.2541 0.2549 0.5092  4 Cu 2.52-2.56, 4 Ga 2.78
Ga: 0.4052 0.9048 0.8086  3 Cu 2.45
Cu: 0.3114 0.8119 0.6227  5 Ga 2.45-2.56
Cu: 0.4548 0.4532 0.9068  2 Ga 2.45, 1 Cu 2.45

Volume ... 18.2 Å³ per atom
Electronic total energy ... -4.28 eV/atom
Crystal system ... triclinic


Record 4
Crystalline K4NiI5 at its relaxed geometry, computed with PBE.

Unit cell a=10.7450 b=10.7450 c=7.1402 alpha=90.00 beta=90.00 gamma=90.00
Closest atoms and distances in Å follow each position.
Space group I4 (No. 79)
One atom of each set of equivalent atoms:
K: 0.0893 0.2995 0.0000  6 I 3.39-3.80
Ni: 0.0000 0.0000 0.4331  5 I 2.63-2.94
I: 0.0000 0.0000 0.0646  1 Ni 2.63
I: 0.0833 0.2560 0.5033  1 Ni 2.94

Volume ... 41.2 Å³ per atom
Electronic total energy ... -2.82 eV/atom
Formation energy without anion corrections ... -1032 meV per atom
Crystal system ... tetragonal